(1)
First-principles (PBEsol) data for an optimized crystal structure of NaTaAg3, as listed in Alexandria via LeMat-Bulk.

Cell lengths 4.6010, 4.6010, 4.6010 Å; angles 90.00, 90.00, 90.00 degrees
Space group Pm-3m (No. 221)
Asymmetric unit:
Na  0.0000  0.0000  0.0000 [1 per cell]
Ta  0.5000  0.5000  0.5000 [1 per cell]
Ag  0.0000  0.0000  0.5000 [3 per cell]

**DFT formation energy**: 1.447 eV/atom

(2)
First-principles (PBEsol) data for an optimized crystal structure of Ag2Hg, as listed in Alexandria via LeMat-Bulk.

Cell lengths 5.8581, 4.2095, 8.7029 Å; angles 90.00, 90.00, 90.00 degrees
Space group Pnma (No. 62)
Asymmetric unit:
Ag  0.1176  0.2500  0.2484 [4 per cell]
Ag  0.1262  0.2500  0.5813 [4 per cell]
Hg  0.1368  0.2500  0.9119 [4 per cell]

**Energy above the most stable polymorph in this dataset**: 0 meV per atom
**DFT formation energy**: 0.002 eV/atom

Question: The lowest DFT formation energy belongs to which entry?
Answer: Ag2Hg

Question: What is the DFT formation energy in the first record?
Answer: 1.447 eV/atom

Question: Among the records above, which one has the lowest DFT formation energy?
Answer: Ag2Hg

Please write out number 1 again, unchanged.
First-principles (PBEsol) data for an optimized crystal structure of NaTaAg3, as listed in Alexandria via LeMat-Bulk.

Cell lengths 4.6010, 4.6010, 4.6010 Å; angles 90.00, 90.00, 90.00 degrees
Space group Pm-3m (No. 221)
Asymmetric unit:
Na  0.0000  0.0000  0.0000 [1 per cell]
Ta  0.5000  0.5000  0.5000 [1 per cell]
Ag  0.0000  0.0000  0.5000 [3 per cell]

**DFT formation energy**: 1.447 eV/atom